1.
A plane-wave DFT calculation with PBE-GGA was carried out for crystalline CdSbTe2C at its relaxed geometry.

- Uncorrected energy: -3.185 eV/atom
- Energy relative to the elements, uncorrected: 4.6 eV per formula unit
- Excess energy over the best structure of this formula in the dataset: 0 meV/atom

Cell and atoms, written as CIF:
```
data_CdSbTe2C
_chemical_formula_sum 'Cd1 Sb1 Te2 C1'
_cell_length_a 4.9421
_cell_length_b 4.9421
_cell_length_c 4.7367
_cell_angle_alpha 90.00
_cell_angle_beta 90.00
_cell_angle_gamma 90.00
_symmetry_space_group_name_H-M 'P 4/m m m'
_symmetry_Int_Tables_number 123
_symmetry_space_group_name_Hall '-P 4 2'
loop_
_atom_site_label
_atom_site_fract_x
_atom_site_fract_y
_atom_site_fract_z
Cd1 0.0000 0.0000 0.0000
Sb1 0.5000 0.5000 0.0000
Te1 0.0000 0.5000 0.5000
C1 0.5000 0.5000 0.5000
```

***

2.
A plane-wave DFT calculation with PBE-GGA was carried out for crystalline Cd2SbTeC at its relaxed geometry.

- Uncorrected energy: -3.027 eV/atom
- Energy relative to the elements, uncorrected: 3.2 eV per formula unit

Cell and atoms, written as CIF:
```
data_Cd2SbTeC
_chemical_formula_sum 'Cd2 Sb1 Te1 C1'
_cell_length_a 4.5264
_cell_length_b 4.5264
_cell_length_c 5.5293
_cell_angle_alpha 90.00
_cell_angle_beta 90.00
_cell_angle_gamma 90.00
_symmetry_space_group_name_H-M 'P 4/m m m'
_symmetry_Int_Tables_number 123
_symmetry_space_group_name_Hall '-P 4 2'
loop_
_atom_site_label
_atom_site_fract_x
_atom_site_fract_y
_atom_site_fract_z
Cd1 0.0000 0.5000 0.0000
Sb1 0.0000 0.0000 0.5000
Te1 0.5000 0.5000 0.5000
C1 0.0000 0.0000 0.0000
```

***

3.
A plane-wave DFT calculation with PBE-GGA was carried out for crystalline CdSbTe2C at its relaxed geometry.

- Uncorrected energy: -2.142 eV/atom
- Energy relative to the elements, uncorrected: 9.8 eV per formula unit
- Excess energy over the best structure of this formula in the dataset: 1043 meV/atom

Cell and atoms, written as CIF:
```
data_CdSbTe2C
_chemical_formula_sum 'Cd1 Sb1 Te2 C1'
_cell_length_a 5.6321
_cell_length_b 5.6321
_cell_length_c 5.5000
_cell_angle_alpha 90.00
_cell_angle_beta 90.00
_cell_angle_gamma 90.00
_symmetry_space_group_name_H-M 'P 4/m m m'
_symmetry_Int_Tables_number 123
_symmetry_space_group_name_Hall '-P 4 2'
loop_
_atom_site_label
_atom_site_fract_x
_atom_site_fract_y
_atom_site_fract_z
Cd1 0.0000 0.0000 0.0000
Sb1 0.0000 0.0000 0.5000
Te1 0.0000 0.5000 0.0000
C1 0.5000 0.5000 0.5000
```

***

4.
A plane-wave DFT calculation with PBE-GGA was carried out for crystalline Sc8CdC4 at its relaxed geometry.

- Uncorrected energy: -7.245 eV/atom

Cell and atoms, written as CIF:
```
data_Sc8CdC4
_chemical_formula_sum 'Sc16 Cd2 C8'
_cell_length_a 11.5865
_cell_length_b 11.5865
_cell_length_c 3.4036
_cell_angle_alpha 90.00
_cell_angle_beta 90.00
_cell_angle_gamma 90.00
_symmetry_space_group_name_H-M 'I 4/m'
_symmetry_Int_Tables_number 87
_symmetry_space_group_name_Hall '-I 4'
loop_
_atom_site_label
_atom_site_fract_x
_atom_site_fract_y
_atom_site_fract_z
Sc1 0.0431 0.3402 0.0000
Sc2 0.1504 0.8097 0.5000
Cd1 0.0000 0.0000 0.0000
C1 0.1537 0.6744 0.0000
```

***

5.
A plane-wave DFT calculation with PBE-GGA was carried out for crystalline ScCdC2 at its relaxed geometry.

- Uncorrected energy: -5.170 eV/atom

Cell and atoms, written as CIF:
```
data_ScCdC2
_chemical_formula_sum 'Sc4 Cd4 C8'
_cell_length_a 4.4652
_cell_length_b 4.4652
_cell_length_c 12.8493
_cell_angle_alpha 90.00
_cell_angle_beta 90.00
_cell_angle_gamma 90.00
_symmetry_space_group_name_H-M 'I -4 2 d'
_symmetry_Int_Tables_number 122
_symmetry_space_group_name_Hall 'I -4 2bw'
loop_
_atom_site_label
_atom_site_fract_x
_atom_site_fract_y
_atom_site_fract_z
Sc1 0.0000 0.0000 0.0000
Cd1 0.0000 0.0000 0.5000
C1 0.2462 0.2500 0.1250
```

***

6.
A plane-wave DFT calculation with PBE-GGA was carried out for crystalline Sc2Cd2C at its relaxed geometry.

- Uncorrected energy: -5.108 eV/atom

Cell and atoms, written as CIF:
```
data_Sc2Cd2C
_chemical_formula_sum 'Sc6 Cd6 C3'
_cell_length_a 3.3238
_cell_length_b 3.3238
_cell_length_c 30.5050
_cell_angle_alpha 90.00
_cell_angle_beta 90.00
_cell_angle_gamma 120.00
_symmetry_space_group_name_H-M 'R -3 m'
_symmetry_Int_Tables_number 166
_symmetry_space_group_name_Hall '-R 3 2"'
loop_
_atom_site_label
_atom_site_fract_x
_atom_site_fract_y
_atom_site_fract_z
Sc1 0.0000 0.0000 0.1266
Cd1 0.0000 0.0000 0.3746
C1 0.0000 0.0000 0.5000
```

***

7.
A plane-wave DFT calculation with PBE-GGA was carried out for crystalline ScCdC at its relaxed geometry.

- Uncorrected energy: -5.290 eV/atom

Cell and atoms, written as CIF:
```
data_ScCdC
_chemical_formula_sum 'Sc6 Cd6 C6'
_cell_length_a 3.7301
_cell_length_b 3.7301
_cell_length_c 26.0729
_cell_angle_alpha 90.00
_cell_angle_beta 90.00
_cell_angle_gamma 120.00
_symmetry_space_group_name_H-M 'R -3 m'
_symmetry_Int_Tables_number 166
_symmetry_space_group_name_Hall '-R 3 2"'
loop_
_atom_site_label
_atom_site_fract_x
_atom_site_fract_y
_atom_site_fract_z
Sc1 0.0000 0.0000 0.1249
Cd1 0.0000 0.0000 0.3769
C1 0.0000 0.0000 0.2251
```

***

8.
A plane-wave DFT calculation with PBE-GGA was carried out for crystalline Sc4Cd2C at its relaxed geometry.

- Uncorrected energy: -5.442 eV/atom

Cell and atoms, written as CIF:
```
data_Sc4Cd2C
_chemical_formula_sum 'Sc8 Cd4 C2'
_cell_length_a 4.5544
_cell_length_b 4.5544
_cell_length_c 14.4563
_cell_angle_alpha 90.00
_cell_angle_beta 90.00
_cell_angle_gamma 90.00
_symmetry_space_group_name_H-M 'I 4/m m m'
_symmetry_Int_Tables_number 139
_symmetry_space_group_name_Hall '-I 4 2'
loop_
_atom_site_label
_atom_site_fract_x
_atom_site_fract_y
_atom_site_fract_z
Sc1 0.0000 0.0000 0.1587
Sc2 0.0000 0.5000 0.0000
Cd1 0.0000 0.0000 0.3628
C1 0.0000 0.0000 0.0000
```